This record from OQMD describes a geometry-optimized BeZnSiPt structure. The functional is PBE-GGA.

Output
- raw total energy (eV for the cell shown) = -67.330

Unit cell a=5.9329 b=5.9329 c=5.9329 alpha=90.00 beta=90.00 gamma=90.00
Space group F-43m (No. 216)
One atom of each set of equivalent atoms:
Be  0.0000  0.0000  0.0000 (multiplicity 4)
Zn  0.2500  0.2500  0.7500 (multiplicity 4)
Si  0.0000  0.0000  0.5000 (multiplicity 4)
Pt  0.2500  0.2500  0.2500 (multiplicity 4)